# 1
Re2OsRu6 | PBE | optimized geometry

```
Re2OsRu6
1.0
-7.852 -4.415 -0.901
-3.201 -4.651 4.489
-6.238 0.953 3.494
Re Os Ru
4 2 12
direct
0.132 0.621 0.816
0.368 0.184 0.379
0.868 0.379 0.184
0.632 0.816 0.621
0.250 0.115 0.885
0.750 0.885 0.115
0.502 0.657 0.540
0.998 0.460 0.343
0.498 0.343 0.460
0.002 0.540 0.657
0.936 0.945 0.238
0.564 0.762 0.055
0.064 0.055 0.762
0.436 0.238 0.945
0.305 0.645 0.028
0.195 0.972 0.355
0.695 0.355 0.972
0.805 0.028 0.645
```

Calculated total energy = -180.3 eV for the cell shown

***

# 2
Li2AcAlS4 | PBE | optimized geometry

```
Li2AcAlS4
1.0
8.063 0.475 -0.754
0.477 8.062 -0.756
-4.766 -4.760 6.568
Li Ac Al S
4 2 2 8
direct
0.456 0.057 0.210
0.557 0.956 0.711
0.211 0.126 0.583
0.627 0.711 0.083
0.957 0.373 0.894
0.873 0.457 0.395
0.384 0.488 0.448
0.988 0.884 0.948
0.207 0.687 0.932
0.831 0.120 0.429
0.186 0.707 0.432
0.620 0.331 0.929
0.696 0.682 0.837
0.827 0.898 0.666
0.182 0.196 0.337
0.398 0.327 0.166
```

Uncorrected formation energy = -1.5014 eV per atom
Calculated total energy = -80.4 eV for the cell shown

***

# 3
YIr2PtF | PBE | optimized geometry

```
YIr2PtF
1.0
-3.289 -2.504 -1.259
2.423 -1.330 -3.686
1.640 -3.293 2.266
Y Ir Pt F
1 2 1 1
direct
0.500 0.500 0.500
0.000 0.000 0.500
0.500 0.000 0.000
0.000 0.500 0.000
0.000 0.000 0.000
```

Uncorrected formation energy = 0.2250 eV per atom
Calculated total energy = -31.0 eV for the cell shown

***

# 4
Zr3SnAu | PBE | optimized geometry

```
Zr3SnAu
1.0
-7.747 4.299 -2.926
-2.612 -1.397 -7.333
-6.911 -3.815 0.497
Zr Sn Au
12 4 4
direct
0.597 0.749 0.050
0.903 0.950 0.251
0.403 0.251 0.950
0.097 0.050 0.749
0.932 0.358 0.056
0.568 0.944 0.642
0.068 0.642 0.944
0.432 0.056 0.358
0.437 0.635 0.665
0.063 0.335 0.365
0.563 0.365 0.335
0.937 0.665 0.635
0.713 0.420 0.844
0.787 0.156 0.580
0.287 0.580 0.156
0.213 0.844 0.420
0.250 0.991 0.009
0.750 0.009 0.991
0.250 0.344 0.656
0.750 0.656 0.344
```

Energy above the most stable polymorph in this dataset = 0 meV/atom
Calculated total energy = -136.4 eV for the cell shown

***

# 5
VSeBrN2 | PBE | optimized geometry

```
VSeBrN2
1.0
3.766 0.000 0.000
0.000 3.766 0.000
0.000 0.000 7.203
N Se Br V
2 1 1 1
direct
0.000 0.500 0.000
0.500 0.000 0.000
0.000 0.000 0.500
0.000 0.000 0.000
0.500 0.500 0.500
```

Uncorrected formation energy = 1.9589 eV per atom
Energy above the most stable polymorph in this dataset = 1472 meV/atom
Calculated total energy = -21.1 eV for the cell shown

***

# 6
Cs6ZrSe4 | PBE | optimized geometry

```
Cs6ZrSe4
1.0
-1.853 5.388 6.820
-11.075 -3.616 -0.152
7.861 -5.581 6.544
Cs Zr Se
12 2 8
direct
0.460 0.733 0.867
0.460 0.133 0.267
0.460 0.133 0.867
0.960 0.267 0.133
0.960 0.867 0.733
0.960 0.867 0.133
0.640 0.932 0.466
0.640 0.534 0.068
0.640 0.534 0.466
0.140 0.068 0.534
0.140 0.466 0.932
0.140 0.466 0.534
0.738 0.333 0.667
0.238 0.667 0.333
0.446 0.333 0.667
0.946 0.667 0.333
0.837 0.574 0.787
0.837 0.213 0.426
0.837 0.213 0.787
0.337 0.426 0.213
0.337 0.787 0.574
0.337 0.787 0.213
```

Uncorrected formation energy = -1.0668 eV per atom
Calculated total energy = -78.7 eV for the cell shown

***

# 7
Dy2Ho8Ga | PBE | optimized geometry

```
Dy2Ho8Ga
1.0
5.440 0.000 0.000
0.000 6.236 1.253
-2.720 -1.192 9.434
Dy Ho Ga
2 8 1
direct
0.758 0.332 0.516
0.242 0.668 0.484
0.423 0.608 0.845
0.656 0.877 0.312
0.844 0.809 0.688
0.958 0.255 0.916
0.156 0.191 0.312
0.344 0.123 0.688
0.577 0.392 0.155
0.042 0.745 0.084
0.500 0.000 0.000
```

Calculated total energy = -49.7 eV for the cell shown

***

# 8
Ge3Te2S2 | PBE | optimized geometry

```
Ge3Te2S2
1.0
6.330 0.000 0.079
0.000 8.757 0.000
2.898 0.000 7.150
Ge Te S
6 4 4
direct
0.500 0.500 0.000
0.000 0.000 0.000
0.693 0.131 0.763
0.807 0.631 0.237
0.193 0.369 0.763
0.307 0.869 0.237
0.888 0.715 0.862
0.388 0.785 0.862
0.612 0.215 0.138
0.112 0.285 0.138
0.605 0.372 0.664
0.895 0.872 0.336
0.105 0.128 0.664
0.395 0.628 0.336
```

Uncorrected formation energy = -0.0614 eV per atom
Calculated total energy = -57.6 eV for the cell shown

***

# 9
Tb5SmHoSc2 | PBE | optimized geometry

```
Tb5SmHoSc2
1.0
-1.633 -2.845 4.544
-1.152 -7.197 -8.376
8.781 -2.938 1.316
Tb Sm Ho Sc
10 2 2 4
direct
0.392 0.784 0.046
0.734 0.469 0.833
0.468 0.937 0.748
0.307 0.613 0.718
0.990 0.979 0.513
0.608 0.216 0.546
0.266 0.531 0.333
0.532 0.063 0.248
0.693 0.387 0.218
0.010 0.021 0.013
0.816 0.631 0.519
0.184 0.369 0.019
0.598 0.195 0.919
0.402 0.805 0.419
0.887 0.773 0.826
0.136 0.271 0.702
0.113 0.227 0.326
0.864 0.729 0.202
```

Calculated total energy = -87.2 eV for the cell shown

***

# 10
Na2TbO3 | PBE | optimized geometry

```
Na2TbO3
1.0
-1.715 2.341 5.264
1.715 -2.341 5.264
1.715 2.341 -5.264
Na Tb O
2 1 3
direct
0.322 0.322 0.000
0.678 0.678 0.000
0.000 0.000 0.000
0.500 0.000 0.500
0.856 0.356 0.500
0.144 0.644 0.500
```

Uncorrected formation energy = -2.0916 eV per atom
Calculated total energy = -34.7 eV for the cell shown

***

# 11
Ba2BTeC | PBE | optimized geometry

```
Ba2BTeC
1.0
6.140 0.000 0.000
0.000 3.213 0.000
0.000 0.000 6.140
C Te Ba B
1 1 2 1
direct
0.000 0.000 0.000
0.500 0.500 0.500
0.000 0.000 0.500
0.500 0.000 0.000
0.000 0.500 0.000
```

Uncorrected formation energy = -0.2417 eV per atom
Calculated total energy = -24.1 eV for the cell shown

***

# 12
Al2MoSe | PBE | optimized geometry

```
Al2MoSe
1.0
-3.586 3.118 -1.385
-2.042 -1.899 1.014
0.190 2.024 4.065
Mo Al Se
1 2 1
direct
0.500 0.250 0.250
0.000 0.983 0.004
0.000 0.517 0.496
0.500 0.750 0.750
```

Uncorrected formation energy = 0.2091 eV per atom
Calculated total energy = -21.0 eV for the cell shown

***

> Which value of calculated total energy does entry 2 give?

-80.4 eV for the cell shown